Here is InSn3Au3 after structural relaxation from the Alexandria database. Energies are from PBE-GGA.

Lattice parameters (Å, degrees): 7.7646 7.7646 6.2253 94.22 94.22 110.35
Positions (direct):
Sn 0.6997 0.3003 0.0000
Sn 0.4413 0.4413 0.7223
Sn 0.5587 0.5587 0.2777
Sn 0.3003 0.6997 0.0000
Sn 0.8095 0.1905 0.5000
Sn 0.1905 0.8095 0.5000
Au 0.4648 0.0411 0.2577
Au 0.9589 0.5352 0.7423
Au 0.5352 0.9589 0.7423
Au 0.8777 0.8777 0.3066
Au 0.0411 0.4648 0.2577
Au 0.1223 0.1223 0.6934
In 0.1774 0.1774 0.1513
In 0.8226 0.8226 0.8487

Properties
Its crystal system is monoclinic. For the energy above the most stable polymorph in this dataset, the calculation gives 0.306 eV/f.u. Its formation energy is -0.07 eV per atom. As for the density: 10.11 g/cm3. The calculation puts the uncorrected energy at -3.58 eV/atom.


Here is InSn2Au2 after structural relaxation from the Alexandria database. Energies are from PBE-GGA.

Lattice parameters (Å, degrees): 4.2558 5.5287 10.8603 107.46 90.00 90.00
Positions (direct):
In 0.7500 0.2293 0.6310
In 0.2500 0.7707 0.3690
Sn 0.2500 0.7889 0.7260
Sn 0.7500 0.2077 0.9634
Sn 0.2500 0.7923 0.0366
Sn 0.7500 0.2111 0.2740
Au 0.7500 0.6948 0.5427
Au 0.2500 0.3507 0.8199
Au 0.2500 0.3052 0.4573
Au 0.7500 0.6493 0.1801

Properties
Its crystal system is monoclinic. For the energy above the most stable polymorph in this dataset, the calculation gives 0.000 eV/f.u. Its formation energy is -0.14 eV per atom. As for the density: 10.17 g/cm3. The calculation puts the uncorrected energy at -3.60 eV/atom.